Record 1
## Tb14CeIn (PBE-GGA)

Data for Tb14CeIn after structural relaxation.

* symmetry: P4/mmm, No. 123
* DFT formation energy: -0.017 eV per atom
* total magnetic moment: 0.67 μB per cell

Structure (POSCAR):
```
Tb14CeIn
1.0
6.989 0.938 0.000
-0.938 6.989 0.000
0.000 0.000 10.015
Tb In Ce
14 1 1
Direct
0.626 0.374 0.247
0.375 0.625 0.500
0.124 0.876 0.246
0.875 0.125 0.500
0.375 0.126 0.000
0.124 0.374 0.753
0.124 0.876 0.754
0.874 0.625 0.000
0.626 0.876 0.247
0.626 0.876 0.753
0.626 0.374 0.753
0.124 0.374 0.247
0.875 0.625 0.500
0.375 0.125 0.500
0.375 0.625 0.000
0.875 0.125 0.000
```



Record 2
## Rb2CrCuSe (PBE-GGA)

Data for Rb2CrCuSe after structural relaxation.

* symmetry: P4/mmm, No. 123
* formation energy (no corrections): 128 meV per atom
* total magnetic moment: 4.99 μB per cell

Structure (POSCAR):
```
Rb2CrCuSe
1.0
6.690 0.000 0.000
0.000 4.852 0.000
0.000 0.000 6.690
Cu Se Cr Rb
1 1 1 2
Direct
0.500 0.500 0.500
0.000 0.000 0.000
0.000 0.500 0.000
0.500 0.000 0.000
0.000 0.000 0.500
```



Record 3
## Na3ZrAs2O8 (PBE-GGA)

Data for Na3ZrAs2O8 after structural relaxation.

* symmetry: P-3m1, No. 164
* formation energy (no corrections): -1766 meV per atom
* total magnetic moment: 0.00 μB per cell

Structure (POSCAR):
```
Na3ZrAs2O8
1.0
5.784 0.000 0.000
-2.892 5.009 0.000
0.000 0.000 7.003
O Na As Zr
8 3 2 1
Direct
0.831 0.661 0.679
0.667 0.333 0.025
0.333 0.667 0.975
0.661 0.831 0.321
0.169 0.339 0.321
0.169 0.831 0.321
0.339 0.169 0.679
0.831 0.169 0.679
0.000 0.000 0.000
0.333 0.667 0.664
0.667 0.333 0.336
0.667 0.333 0.785
0.333 0.667 0.215
0.000 0.000 0.500
```